[1]
A plane-wave DFT calculation with PBE was carried out for a relaxed LiW2Br crystal.

## Properties
Calculated total energy = -24.9 eV for the cell shown
Energy above the lowest structure with this stoichiometry = 89.2 kJ/mol of atoms
E_form (uncorrected) = 1149 meV/atom
Size of the total moment = 0.00 μB/cell

Unit cell a=3.2505 b=3.2505 c=6.3699 alpha=90.00 beta=90.00 gamma=90.00
Last column: nearest neighbours and their distance in Å.
Space group P4/mmm (No. 123)
Inequivalent atoms, fractional coordinates:
1 Li 0.0000 0.0000 0.0000 x1  8 W 2.58
2 W 0.5000 0.5000 0.1856 x2  1 W 2.36, 4 Li 2.58
3 Br 0.0000 0.0000 0.5000 x1  8 W 3.05, 2 Li 3.18, 4 Br 3.25

[2]
A plane-wave DFT calculation with PBE was carried out for a relaxed Li2WBr crystal.

## Properties
Calculated total energy = -33.0 eV for the cell shown
Energy above the lowest structure with this stoichiometry = 34.4 kJ/mol of atoms
E_form (uncorrected) = 493 meV/atom
Size of the total moment = 0.00 μB/cell

Unit cell a=5.0699 b=9.1228 c=2.9118 alpha=90.00 beta=90.09 gamma=90.00
Last column: nearest neighbours and their distance in Å.
Space group C2/m (No. 12)
Inequivalent atoms, fractional coordinates:
1 Li 0.2500 0.2500 0.0000 x4  2 Li 2.53
2 W 0.0000 0.0000 0.5000 x2  2 Br 2.53
3 Br 0.0000 0.5000 0.5000 x2  2 W 2.53

[3]
A plane-wave DFT calculation with PBE was carried out for a relaxed LiWBr2 crystal.

## Properties
Calculated total energy = -55.8 eV for the cell shown
Energy above the lowest structure with this stoichiometry = 99.1 kJ/mol of atoms
E_form (uncorrected) = 1067 meV/atom
Size of the total moment = 19.98 μB/cell

Unit cell a=7.2048 b=7.2048 c=7.2048 alpha=90.00 beta=90.00 gamma=90.00
Last column: nearest neighbours and their distance in Å.
Space group F-43m (No. 216)
Inequivalent atoms, fractional coordinates:
1 Li 0.0000 0.0000 0.0000 x4  4 Br 3.12, 4 W 3.12
2 W 0.2500 0.2500 0.7500 x4  4 Li 3.12, 4 Br 3.12
3 Br 0.0000 0.0000 0.5000 x4  4 W 3.12, 4 Br 3.12
4 Br 0.2500 0.2500 0.2500 x4  4 Br 3.12, 4 Li 3.12